Entry 1:
First-principles (PBE-GGA) data for an optimized crystal structure of ThZnIrPd, as listed in Alexandria via LeMat-Bulk.

a = 4.792 Å, b = 4.792 Å, c = 4.792 Å
α = 60.00°, β = 60.00°, γ = 60.00°
Fractional positions:
Ir: 0.250 0.250 0.250
Zn: 0.500 0.500 0.500
Th: 0.000 0.000 0.000
Pd: 0.750 0.750 0.750

Summary:
**Formation energy**: -0.571 eV/atom
**Calculated density**: 12.72 g/cm3
**Calculated total energy**: -25.03 eV/f.u.
**SG**: F-43m, No. 216

---

Entry 2:
First-principles (PBE-GGA) data for an optimized crystal structure of HoTlPd, as listed in Alexandria via LeMat-Bulk.

a = 5.016 Å, b = 5.016 Å, c = 6.175 Å
α = 90.00°, β = 90.00°, γ = 120.01°
Fractional positions:
Ho: 0.666 0.834 0.750
Ho: 0.334 0.166 0.250
Pd: 0.333 0.167 0.750
Pd: 0.667 0.833 0.250
Tl: 0.000 0.500 0.500
Tl: 0.000 0.500 0.000

Summary:
**Formation energy**: -0.578 eV/atom
**Calculated density**: 11.74 g/cm3
**Calculated total energy**: -13.87 eV/f.u.
**SG**: P6_3/mmc, No. 194

---

Which value of calculated total energy does entry 1 give?
-25.03 eV/f.u.

---

Which of these has the highest formation energy?
ThZnIrPd

---

What did the first record say?
First-principles (PBE-GGA) data for an optimized crystal structure of ThZnIrPd, as listed in Alexandria via LeMat-Bulk.

a = 4.792 Å, b = 4.792 Å, c = 4.792 Å
α = 60.00°, β = 60.00°, γ = 60.00°
Fractional positions:
Ir: 0.250 0.250 0.250
Zn: 0.500 0.500 0.500
Th: 0.000 0.000 0.000
Pd: 0.750 0.750 0.750

Summary:
**Formation energy**: -0.571 eV/atom
**Calculated density**: 12.72 g/cm3
**Calculated total energy**: -25.03 eV/f.u.
**SG**: F-43m, No. 216